This record from the Alexandria database describes an optimized crystal structure of MoPbW2. The functional is GGA-PBE.

Cell and atoms, written as extended XYZ:
```
4
Lattice="-3.831 0.510 -2.313 -0.016 -4.404 -0.944 -1.834 -0.615 2.903" Properties=species:S:1:pos:R:3 pbc="T T T"
Pb -0.925 -2.510 0.979
Mo -2.833 -0.053 0.295
W -1.924 -1.947 -1.628
W 0.000 0.000 0.000
```

Summary:
E_tot	-36.769	eV/f.u.
density of states at the Fermi level	4.49	states/eV per cell